Material: TbCuAgGe
Method: DFT, PBE
State: optimized geometry

POSCAR file:
```
TbCuAgGe
1.0
0.0000 3.3497 3.3497
3.3497 0.0000 3.3497
3.3497 3.3497 0.0000
Tb Cu Ag Ge
1 1 1 1
direct
0.0000 0.0000 0.0000
0.7500 0.7500 0.7500
0.5000 0.5000 0.5000
0.2500 0.2500 0.2500
```

## Properties
The magnetic moment comes out at 0.000 Bohr magnetons per cell. The final energy comes out at -4.3268 eV per atom.